(1)
Computed, not measured: an optimized crystal structure of AsRu2PtW at the PBE level of DFT.

```
5
Lattice="4.825 0.000 0.000 0.000 4.825 0.000 0.000 0.000 4.743" Properties=species:S:1:pos:R:3 pbc="T T T"
As 0.000 0.000 0.000
Ru 0.000 2.412 2.372
Ru 2.412 0.000 2.372
Pt 2.412 2.412 2.372
W 2.412 2.412 0.000
```

Values from the calculation:
E above lowest polymorph, eV/f.u.: 2.28
Space-group type: P4/mmm, No. 123

(2)
Computed, not measured: an optimized crystal structure of Sc2Tc at the PBE level of DFT.

```
9
Lattice="7.563 0.000 0.000 -3.781 6.549 0.000 0.000 0.000 3.520" Properties=species:S:1:pos:R:3 pbc="T T T"
Sc -1.029 1.783 0.000
Sc -2.297 3.979 1.760
Sc 2.059 0.000 0.000
Sc 1.484 2.571 1.760
Sc 4.594 0.000 1.760
Sc 2.752 4.767 0.000
Tc 0.000 0.000 1.760
Tc 0.000 4.366 0.000
Tc 3.781 2.183 0.000
```

Values from the calculation:
E above lowest polymorph, eV/f.u.: 0.16
Space-group type: P-62m, No. 189

| no. | DFT formation energy (meV/atom) |
| --- | --- |
| 1 | 1988 |
| 2 | -160 |